## KMg4Ru (PBE)

Data for KMg4Ru after structural relaxation.

POSCAR file:
```
KMg4Ru
1.0
0.000 4.120 4.120
4.120 0.000 4.120
4.120 4.120 0.000
K Mg Ru
1 4 1
Direct
0.000 0.000 0.000
0.131 0.623 0.623
0.623 0.131 0.623
0.623 0.623 0.131
0.623 0.623 0.623
0.250 0.250 0.250
```

Summary:
The space-group type is F-43m, No. 216.

---

## K2MgRu (PBE)

Data for K2MgRu after structural relaxation.

POSCAR file:
```
K2MgRu
1.0
1.582 0.913 12.192
-1.582 0.913 12.192
0.000 -1.827 12.192
K Mg Ru
2 1 1
Direct
0.240 0.240 0.240
0.760 0.760 0.760
0.000 0.000 0.000
0.500 0.500 0.500
```

Summary:
The space-group type is R-3m, No. 166.

---

## KMg2Ru (PBE)

Data for KMg2Ru after structural relaxation.

POSCAR file:
```
KMg2Ru
1.0
1.567 0.904 10.666
-1.567 0.904 10.666
0.000 -1.809 10.666
K Mg Ru
1 2 1
Direct
0.000 0.000 0.000
0.230 0.230 0.230
0.770 0.770 0.770
0.500 0.500 0.500
```

Summary:
The space-group type is R-3m, No. 166.

---

## K2MgRu (PBE)

Data for K2MgRu after structural relaxation.

POSCAR file:
```
K2MgRu
1.0
3.622 0.000 0.000
0.000 3.625 0.000
-0.042 0.000 10.172
K Mg Ru
2 1 1
Direct
0.000 0.000 0.000
0.491 0.500 0.416
0.496 0.500 0.734
0.995 0.000 0.667
```

Summary:
The space-group type is Pm, No. 6.

---

Computed formation energy from the elements (eV per atom) in order:
0.55, 0.94, 0.43, 0.55
Computed electronic total energy (eV per atom) in order:
-2.246, -2.330, -2.965, -2.715